A PBEsol-optimized structure of Y2TeSe, computed with meta-GGA SCAN.

Lattice parameters (Å, degrees): 7.337 7.337 7.337 90.00 90.00 90.00
Space group F-43m (No. 216)
Unique sites:
Y: 0.000 0.000 0.000 (multiplicity 4)
Y: 0.250 0.250 0.250 (multiplicity 4)
Te: 0.000 0.000 0.500 (multiplicity 4)
Se: 0.250 0.250 0.750 (multiplicity 4)

Summary:
The value obtained for the uncorrected formation energy is -512 meV per atom. The value obtained for the calculated total energy is -115.06 eV/f.u. The calculation puts the spin magnetization at 1.91 μB per formula unit. Its energy above the most stable polymorph in this dataset is 1.227 eV/atom.